Below is a relaxed structure of RePIO2, with properties calculated at the PBE level.

Lattice parameters (Å, degrees): 3.8128 3.8128 6.0881 90.00 90.00 90.00
Sites, in units of the cell vectors:
1 I 0.0000 0.0000 0.5000
2 Re 0.0000 0.0000 0.0000
3 O 0.0000 0.5000 0.0000
4 O 0.5000 0.0000 0.0000
5 P 0.5000 0.5000 0.5000

Output
Symmetry   P4/mmm, No. 123
Distance to the lowest polymorph of the same formula   0.320 eV per atom
Uncorrected formation energy   -5.57 kcal/mol of atoms